(1)
DFT (GGA-PBEsol) results for a relaxed SrHgPO2 crystal.

a b c (Å): 4.3969 4.3969 6.2913
angles (deg): 90.00 90.00 90.00
Closest atoms and distances in Å follow each position.
Space group P4/mmm (No. 123)
Inequivalent atoms, fractional coordinates:
1 Sr 0.0000 0.0000 0.0000 x1  4 O 2.20
2 Hg 0.5000 0.5000 0.5000 x1  4 P 3.11
3 P 0.0000 0.0000 0.5000 x1  4 Hg 3.11, 2 Sr 3.15
4 O 0.0000 0.5000 0.0000 x2  2 Sr 2.20

Computed properties:
* total magnetic moment: 2.97 μB per cell
* density of states at the Fermi level: 4.9 states/eV per cell
* calculated density: 4.8 g/cm3
* ΔE_f (raw): 17 kJ/mol of atoms
* offset from the most stable computed form: 0.439 eV/atom
* DFT total energy: -3.5651 eV per atom

(2)
DFT (GGA-PBEsol) results for a relaxed CaZn2BW crystal.

a b c (Å): 4.2508 4.2508 4.3323
angles (deg): 90.00 90.00 90.00
Closest atoms and distances in Å follow each position.
Space group P4/mmm (No. 123)
Inequivalent atoms, fractional coordinates:
1 Ca 0.0000 0.0000 0.0000 x1  4 W 3.01, 8 Zn 3.03
2 Zn 0.0000 0.5000 0.5000 x2  2 B 2.13
3 B 0.5000 0.5000 0.5000 x1  4 Zn 2.13, 2 W 2.17
4 W 0.5000 0.5000 0.0000 x1  2 B 2.17

Computed properties:
* total magnetic moment: 0.00 μB per cell
* E_form: 0.45 eV/atom
* density of states at the Fermi level: 3.5 states/eV per cell
* calculated density: 7.8 g/cm3
* DFT total energy: -4.7746 eV per atom

DFT total energy of number 1 (SrHgPO2)? -3.5651 eV per atom

What is the calculated density in the second record? 7.8 g/cm3